[1]
An optimized crystal structure of CaFe3F9. Source: the Alexandria database, functional PBE with a Hubbard U.

```
26
Lattice="5.488 0.000 -0.281 0.000 7.576 0.000 -0.125 0.000 8.345" Properties=species:S:1:pos:R:3 pbc="T T T"
Ca 0.132 1.894 3.564
Ca 5.230 5.682 4.501
Fe 0.000 0.000 0.000
Fe 0.000 3.788 0.000
Fe 2.474 3.738 5.672
Fe 2.474 0.050 5.672
Fe 2.889 7.526 2.393
Fe 2.889 3.838 2.393
F 0.412 1.894 8.097
F 0.596 7.092 6.551
F 0.596 4.272 6.551
F 1.303 7.213 3.885
F 1.303 4.151 3.885
F 1.652 1.894 5.328
F 1.700 7.191 0.805
F 1.700 4.173 0.805
F 2.166 1.894 2.454
F 3.197 5.682 5.611
F 3.663 0.385 7.260
F 3.663 3.403 7.260
F 3.710 5.682 2.737
F 4.060 0.363 4.179
F 4.060 3.425 4.179
F 4.767 0.484 1.514
F 4.767 3.304 1.514
F 4.950 5.682 -0.032
```

Calculated values
Final energy ... -143.98 eV per cell
Crystal system ... monoclinic
Space group ... P2_1/m (11)


[2]
An optimized crystal structure of CaFeHgF2. Source: the Alexandria database, functional PBE with a Hubbard U.

```
5
Lattice="4.253 0.000 0.000 0.000 7.207 0.000 0.000 0.000 4.253" Properties=species:S:1:pos:R:3 pbc="T T T"
Ca 0.000 0.000 0.000
F 0.000 0.000 2.126
F 2.126 0.000 0.000
Hg 2.126 3.603 2.126
Fe 0.000 3.603 0.000
```

Calculated values
Final energy ... -19.84 eV per cell
Fermi-level density of states ... 2.18 states/eV/f.u.
Crystal system ... tetragonal
Space group ... P4/mmm (123)


[3]
An optimized crystal structure of CaIn2FeF. Source: the Alexandria database, functional PBE with a Hubbard U.

```
5
Lattice="-1.200 -3.455 -4.255 0.683 -3.117 2.338 -5.395 -0.026 1.542" Properties=species:S:1:pos:R:3 pbc="T T T"
Ca -2.955 -3.299 -0.188
F 0.000 0.000 0.000
Fe 0.342 -1.558 1.169
In -2.697 -0.013 0.771
In -0.600 -1.727 -2.128
```

Calculated values
Final energy ... -17.36 eV per cell
Fermi-level density of states ... 2.19 states/eV/f.u.
Crystal system ... tetragonal
Space group ... P4/mmm (123)


[4]
An optimized crystal structure of KCa2FeF. Source: the Alexandria database, functional PBE with a Hubbard U.

```
5
Lattice="-3.607 -1.319 3.083 3.901 -4.032 2.840 1.381 3.542 3.131" Properties=species:S:1:pos:R:3 pbc="T T T"
K 0.838 -0.904 4.527
Ca 0.691 1.771 1.565
Ca -1.803 -0.659 1.542
Fe 1.951 -2.016 1.420
F 0.000 0.000 0.000
```

Calculated values
Final energy ... -14.92 eV per cell
Fermi-level density of states ... 4.16 states/eV/f.u.
Crystal system ... tetragonal
Space group ... P4/mmm (123)


[5]
An optimized crystal structure of LiCaFeF6. Source: the Alexandria database, functional PBE with a Hubbard U.

```
9
Lattice="-1.048 -4.777 -0.431 0.781 -0.627 5.047 -4.691 1.187 -1.749" Properties=species:S:1:pos:R:3 pbc="T T T"
Li -0.524 -2.389 -0.215
Ca -2.867 0.582 0.516
Fe -1.567 -2.411 2.566
F -3.255 -3.086 1.989
F -0.630 -3.610 1.417
F -1.500 -3.653 4.011
F -1.524 -1.190 1.101
F 0.081 -1.736 3.250
F -2.574 -1.188 3.628
```

Calculated values
Final energy ... -46.42 eV per cell
Fermi-level density of states ... 0.00 states/eV/f.u.
Relative energy among the computed polymorphs ... 5.76 kcal/mol of atoms
Crystal system ... trigonal
Space group ... P312 (149)


[6]
An optimized crystal structure of LiCaFeF6. Source: the Alexandria database, functional PBE with a Hubbard U.

```
18
Lattice="-1.309 1.368 4.845 -3.365 0.711 -3.902 -3.714 -9.055 1.554" Properties=species:S:1:pos:R:3 pbc="T T T"
Li -5.465 -5.862 0.179
Li -2.923 -1.115 2.318
Ca 0.000 0.000 0.000
Ca -1.857 -4.528 0.777
Fe -4.780 -5.642 3.095
Fe -3.608 -1.334 -0.598
F -5.656 -6.197 4.758
F -2.732 -0.780 -2.261
F -3.717 -7.288 3.034
F -4.018 -5.048 1.390
F -4.671 0.311 -0.538
F -4.371 -1.928 1.107
F -6.198 -6.446 2.008
F -3.277 -4.887 4.100
F -2.190 -0.530 0.489
F -5.112 -2.089 -1.603
F -5.813 -3.988 3.279
F -2.575 -2.989 -0.782
```

Calculated values
Final energy ... -97.34 eV per cell
Fermi-level density of states ... 0.00 states/eV/f.u.
Relative energy among the computed polymorphs ... 0.00 kcal/mol of atoms
Crystal system ... trigonal
Space group ... P-31c (163)


[7]
An optimized crystal structure of CaFeNF2. Source: the Alexandria database, functional PBE with a Hubbard U.

```
5
Lattice="-2.048 1.140 3.467 -3.359 -2.143 -1.280 1.650 -3.943 2.272" Properties=species:S:1:pos:R:3 pbc="T T T"
Ca 0.000 0.000 0.000
N 0.825 -1.972 1.136
Fe -1.879 -2.473 2.229
F -1.679 -1.071 -0.640
F -1.024 0.570 1.733
```

Calculated values
Final energy ... -24.40 eV per cell
Fermi-level density of states ... 1.38 states/eV/f.u.
Relative energy among the computed polymorphs ... 15.42 kcal/mol of atoms
Crystal system ... tetragonal
Space group ... P4/mmm (123)


[8]
An optimized crystal structure of CaFeNF2. Source: the Alexandria database, functional PBE with a Hubbard U.

```
5
Lattice="-0.357 2.164 3.411 -4.029 0.049 -0.453 -0.277 -3.360 2.102" Properties=species:S:1:pos:R:3 pbc="T T T"
Ca -2.332 -0.574 2.530
N -0.138 -1.680 1.051
Fe 0.000 0.000 0.000
F -2.015 0.024 -0.226
F -0.179 1.082 1.706
```

Calculated values
Final energy ... -27.74 eV per cell
Fermi-level density of states ... 0.17 states/eV/f.u.
Relative energy among the computed polymorphs ... 0.00 kcal/mol of atoms
Crystal system ... tetragonal
Space group ... P4/mmm (123)


[9]
An optimized crystal structure of NaCaFeF6. Source: the Alexandria database, functional PBE with a Hubbard U.

```
9
Lattice="-0.564 4.613 -1.252 -0.474 -1.471 -5.206 -4.416 0.314 3.145" Properties=species:S:1:pos:R:3 pbc="T T T"
Na -2.070 1.430 -3.048
Ca -3.102 -0.281 0.362
Fe -0.282 2.306 -0.626
F -3.892 2.533 -2.331
F -4.921 3.235 0.716
F -1.719 3.425 -0.024
F -1.597 0.939 -0.907
F -4.865 0.543 -0.893
F -3.308 1.479 1.853
```

Calculated values
Final energy ... -45.32 eV per cell
Fermi-level density of states ... 0.00 states/eV/f.u.
Crystal system ... trigonal
Space group ... P312 (149)


[10]
An optimized crystal structure of CaNbFe2F. Source: the Alexandria database, functional PBE with a Hubbard U.

```
5
Lattice="4.676 0.000 0.000 0.000 4.318 0.000 0.000 0.000 4.676" Properties=species:S:1:pos:R:3 pbc="T T T"
Nb 2.338 2.159 2.338
Ca 0.000 2.159 0.000
Fe 0.000 0.000 2.338
Fe 2.338 0.000 0.000
F 0.000 0.000 0.000
```

Calculated values
Final energy ... -24.98 eV per cell
Fermi-level density of states ... 3.32 states/eV/f.u.
Crystal system ... tetragonal
Space group ... P4/mmm (123)


[11]
An optimized crystal structure of CaFeO2F. Source: the Alexandria database, functional PBE with a Hubbard U.

```
5
Lattice="3.945 0.000 0.000 0.000 3.945 0.000 0.000 0.000 3.947" Properties=species:S:1:pos:R:3 pbc="T T T"
Ca 1.972 1.972 1.974
Fe 0.000 0.000 0.000
O 0.000 1.972 0.000
O 1.972 0.000 0.000
F 0.000 0.000 1.974
```

Calculated values
Final energy ... -30.70 eV per cell
Fermi-level density of states ... 0.03 states/eV/f.u.
Crystal system ... tetragonal
Space group ... P4/mmm (123)


[12]
An optimized crystal structure of CaFe6O4F8. Source: the Alexandria database, functional PBE with a Hubbard U.

```
19
Lattice="-3.064 3.414 3.588 4.287 -3.003 2.906 4.075 5.790 -3.721" Properties=species:S:1:pos:R:3 pbc="T T T"
Ca -0.584 2.488 4.258
Fe 1.556 1.252 2.692
Fe 0.605 3.060 0.357
Fe 0.516 6.177 0.105
Fe 3.998 4.632 -0.516
Fe 4.293 1.440 -0.399
Fe 4.845 6.125 2.581
O 4.095 2.942 -1.547
O 0.819 3.160 2.336
O 4.538 5.673 -2.066
O 4.548 6.169 0.570
F 4.522 0.239 1.250
F 4.356 3.085 0.956
F 3.259 4.771 3.064
F 3.066 -1.139 2.922
F 3.398 1.645 3.343
F 1.882 7.487 -0.720
F 2.069 4.620 -0.139
F 2.237 1.480 0.296
```

Calculated values
Final energy ... -111.98 eV per cell
Fermi-level density of states ... 0.00 states/eV/f.u.
Relative energy among the computed polymorphs ... 0.37 kcal/mol of atoms
Crystal system ... triclinic
Space group ... P1 (1)


[13]
An optimized crystal structure of CaFeO2F. Source: the Alexandria database, functional PBE with a Hubbard U.

```
5
Lattice="4.349 0.000 0.000 0.000 4.349 0.000 0.000 0.000 4.128" Properties=species:S:1:pos:R:3 pbc="T T T"
Ca 0.000 0.000 0.000
Fe 2.174 2.174 2.064
O 0.000 2.174 0.000
O 2.174 0.000 0.000
F 0.000 0.000 2.064
```

Calculated values
Final energy ... -24.12 eV per cell
Fermi-level density of states ... 4.45 states/eV/f.u.
Crystal system ... tetragonal
Space group ... P4/mmm (123)


[14]
An optimized crystal structure of CaFe6O4F8. Source: the Alexandria database, functional PBE with a Hubbard U.

```
19
Lattice="-0.156 -0.753 5.785 -4.116 -3.220 -3.052 6.767 -4.276 -2.087" Properties=species:S:1:pos:R:3 pbc="T T T"
Ca 4.171 -4.186 -2.090
Fe -1.788 -3.321 0.712
Fe 0.672 -2.979 3.917
Fe 1.342 -5.251 1.672
Fe 4.523 -5.825 0.761
Fe 3.260 -2.467 1.478
Fe -3.402 -3.858 -1.894
O 3.200 -4.651 1.362
O 1.685 -1.677 2.828
O -2.842 -3.270 2.397
O -1.217 -1.346 1.256
F -0.535 -3.431 -0.989
F 0.428 -6.029 -3.307
F 0.520 -6.063 -0.103
F -0.985 -1.468 4.297
F -0.187 -3.878 1.823
F 3.670 -6.497 -2.594
F 1.952 -3.961 -2.069
F 1.806 -2.057 0.051
```

Calculated values
Final energy ... -112.29 eV per cell
Fermi-level density of states ... 0.00 states/eV/f.u.
Relative energy among the computed polymorphs ... 0.00 kcal/mol of atoms
Crystal system ... triclinic
Space group ... P1 (1)


[15]
An optimized crystal structure of CaFe6O4F8. Source: the Alexandria database, functional PBE with a Hubbard U.

```
19
Lattice="-5.408 -1.110 -1.568 -3.172 -1.177 4.731 -3.810 6.621 1.663" Properties=species:S:1:pos:R:3 pbc="T T T"
Ca -6.020 2.151 4.234
Fe -8.679 4.172 3.493
Fe -5.050 4.146 1.907
Fe -7.514 0.107 2.331
Fe -3.682 0.184 1.402
Fe -6.683 2.219 0.416
Fe -5.410 -1.081 -1.493
O -2.656 1.767 2.138
O -8.543 2.574 4.745
O -7.580 5.460 4.498
O -4.814 -1.107 0.418
F -4.492 3.884 3.807
F -6.970 0.163 4.321
F -9.406 0.008 3.240
F -5.783 6.038 2.279
F -7.005 3.244 2.483
F -6.631 -1.767 2.479
F -5.491 1.149 2.011
F -2.996 4.540 1.419
```

Calculated values
Final energy ... -111.42 eV per cell
Fermi-level density of states ... 0.00 states/eV/f.u.
Relative energy among the computed polymorphs ... 1.05 kcal/mol of atoms
Crystal system ... triclinic
Space group ... P1 (1)


[16]
An optimized crystal structure of CaFe6O4F8. Source: the Alexandria database, functional PBE with a Hubbard U.

```
19
Lattice="-3.354 4.071 -3.142 -2.224 -1.549 5.733 6.353 4.483 1.900" Properties=species:S:1:pos:R:3 pbc="T T T"
Ca -1.211 2.437 -0.955
Fe 2.631 4.808 2.700
Fe -0.462 5.648 1.952
Fe 1.487 1.453 2.083
Fe -2.130 2.305 2.280
Fe 1.558 4.702 -0.643
Fe 2.798 8.359 -1.089
O -0.224 4.460 -1.598
O 1.337 5.022 1.379
O 2.474 5.884 4.287
O -1.938 1.023 0.719
F 1.113 2.342 5.569
F -0.238 2.110 2.975
F 0.728 1.885 0.221
F 3.653 3.393 5.866
F 2.604 2.881 3.145
F -3.095 3.675 -1.059
F -1.591 3.852 1.215
F -0.222 4.926 4.022
```

Calculated values
Final energy ... -111.97 eV per cell
Relative energy among the computed polymorphs ... 0.39 kcal/mol of atoms
Crystal system ... triclinic
Space group ... P1 (1)


[17]
An optimized crystal structure of CaFe8O14F2. Source: the Alexandria database, functional PBE with a Hubbard U.

```
25
Lattice="-0.100 -4.226 -2.123 4.084 0.616 -1.777 6.138 -7.227 10.007" Properties=species:S:1:pos:R:3 pbc="T T T"
Ca 8.209 -6.036 5.798
Fe 4.225 -0.023 -1.609
Fe 5.512 -1.258 0.815
Fe 6.789 -6.880 1.032
Fe 5.924 -8.287 4.170
Fe 2.717 -3.038 -0.636
Fe 5.154 -5.508 4.179
Fe 7.809 -9.036 7.056
Fe 3.934 -4.214 1.716
O 3.982 -1.583 -0.512
O 6.629 -4.196 4.450
O 8.930 -7.545 7.241
O 5.294 -2.863 1.969
O 1.316 -1.735 -1.044
O 2.546 -2.948 1.264
O 3.818 -4.325 3.670
O 5.639 -5.910 6.056
O 2.958 -3.143 -2.565
O 4.148 -4.266 -0.186
O 7.447 -8.341 5.256
O 1.498 -4.489 -0.738
O 2.891 -5.835 1.670
O 4.364 -7.241 4.056
F 5.699 -5.669 2.265
F 6.320 -10.389 6.807
```

Calculated values
Final energy ... -153.43 eV per cell
Fermi-level density of states ... 10.16 states/eV/f.u.
Crystal system ... triclinic
Space group ... P1 (1)


[18]
An optimized crystal structure of Ca2FePdF. Source: the Alexandria database, functional PBE with a Hubbard U.

```
5
Lattice="-4.504 -0.589 0.172 0.610 -4.144 1.765 -0.082 2.011 4.752" Properties=species:S:1:pos:R:3 pbc="T T T"
Ca 0.305 -2.072 0.882
Ca -2.252 -0.295 0.086
Fe -1.988 -1.361 3.344
Pd -0.041 1.006 2.376
F 0.000 0.000 0.000
```

Calculated values
Final energy ... -20.04 eV per cell
Fermi-level density of states ... 2.84 states/eV/f.u.
Crystal system ... tetragonal
Space group ... P4/mmm (123)


[19]
An optimized crystal structure of CaFePt2F. Source: the Alexandria database, functional PBE with a Hubbard U.

```
5
Lattice="4.904 0.000 0.000 0.000 4.904 0.000 0.000 0.000 4.053" Properties=species:S:1:pos:R:3 pbc="T T T"
Ca 2.452 2.452 2.027
Fe 0.000 0.000 0.000
Pt 0.000 2.452 0.000
Pt 2.452 0.000 0.000
F 0.000 0.000 2.027
```

Calculated values
Final energy ... -24.67 eV per cell
Fermi-level density of states ... 1.57 states/eV/f.u.
Crystal system ... tetragonal
Space group ... P4/mmm (123)


[20]
An optimized crystal structure of Rb2CaFeF6. Source: the Alexandria database, functional PBE with a Hubbard U.

```
10
Lattice="6.219 0.000 0.000 0.000 6.219 0.000 3.110 3.110 4.320" Properties=species:S:1:pos:R:3 pbc="T T T"
Ca 3.110 3.110 0.000
Fe 0.000 0.000 0.000
Rb 6.219 3.110 2.160
Rb 3.110 6.219 2.160
F 3.110 3.110 2.268
F 6.219 6.219 2.052
F 1.516 1.516 0.000
F 4.704 4.704 0.000
F 4.704 1.516 0.000
F 1.516 4.704 0.000
```

Calculated values
Final energy ... -51.32 eV per cell
Fermi-level density of states ... 0.00 states/eV/f.u.
Crystal system ... tetragonal
Space group ... I4/mmm (139)


[21]
An optimized crystal structure of Rb3CaFe2F9. Source: the Alexandria database, functional PBE with a Hubbard U.

```
15
Lattice="6.158 0.000 0.000 -3.079 5.333 0.000 0.000 0.000 7.394" Properties=species:S:1:pos:R:3 pbc="T T T"
Rb 0.000 3.555 4.970
Rb 0.000 0.000 0.000
Rb 3.079 1.778 2.424
Ca 0.000 0.000 3.697
Fe 0.000 3.555 1.181
Fe 3.079 1.778 6.214
F 4.574 0.915 5.016
F 3.079 3.504 5.016
F 1.584 0.915 5.016
F 1.495 4.418 2.379
F 0.000 1.829 2.379
F -1.495 4.418 2.379
F 3.079 0.000 0.000
F -1.539 2.666 0.000
F 1.539 2.666 0.000
```

Calculated values
Final energy ... -76.60 eV per cell
Fermi-level density of states ... 0.00 states/eV/f.u.
Crystal system ... trigonal
Space group ... P-3m1 (164)